Compound: ZrTiV2
Source: Alexandria via LeMat-Bulk
Functional: PBE-GGA
Structure: relaxed

Cell lengths 7.051, 7.051, 5.693 Å; angles 51.74, 51.74, 90.00 degrees
Atoms (fractional coordinates):
V1 0.140 0.625 0.250
V2 0.610 0.125 0.250
V3 0.875 0.860 0.750
V4 0.375 0.390 0.750
Zr1 0.000 0.000 0.000
Zr2 0.750 0.250 0.500
Ti1 0.250 0.750 0.500
Ti2 0.500 0.500 0.000

Output
D(E_F)	9.46	states/eV per cell
crystal system	tetragonal
SG	No. 122
calculated total energy	-64.858	eV for the cell shown
ΔE to the lowest computed polymorph	420	meV/atom

=====

Compound: Sm6SbTe3Se2
Source: Alexandria via LeMat-Bulk
Functional: PBE-GGA
Structure: relaxed

Cell lengths 7.501, 7.501, 7.665 Å; angles 99.40, 99.40, 120.02 degrees
Atoms (fractional coordinates):
Sm1 0.076 0.421 0.226
Sm2 0.727 0.727 0.222
Sm3 0.421 0.076 0.226
Sm4 0.579 0.924 0.774
Sm5 0.924 0.579 0.774
Sm6 0.273 0.273 0.778
Te1 0.162 0.838 0.500
Te2 0.838 0.162 0.500
Te3 0.500 0.500 0.500
Se1 0.668 0.332 0.000
Se2 0.332 0.668 0.000
Sb1 0.000 0.000 0.000

Output
D(E_F)	5.35	states/eV per cell
crystal system	monoclinic
SG	No. 12
energy relative to the elements, uncorrected	-1.512	eV/atom
calculated total energy	-66.975	eV for the cell shown

=====

Compound: LiH2Au
Source: Alexandria via LeMat-Bulk
Functional: PBE-GGA
Structure: relaxed

Cell lengths 4.472, 4.472, 5.268 Å; angles 64.88, 64.88, 90.00 degrees
Atoms (fractional coordinates):
Au1 0.750 0.250 0.500
Au2 0.000 0.000 0.000
H1 0.647 0.125 0.250
H2 0.375 0.353 0.750
H3 0.875 0.897 0.750
H4 0.103 0.625 0.250
Li1 0.500 0.500 0.000
Li2 0.250 0.750 0.500

Output
D(E_F)	0.00	states/eV per cell
crystal system	tetragonal
SG	No. 122
calculated total energy	-24.967	eV for the cell shown
ΔE to the lowest computed polymorph	103	meV/atom

=====

Compound: LiCu2Hg
Source: Alexandria via LeMat-Bulk
Functional: PBE-GGA
Structure: relaxed

Cell lengths 2.814, 3.881, 5.511 Å; angles 90.00, 90.00, 90.00 degrees
Atoms (fractional coordinates):
Cu1 0.000 0.000 0.521
Cu2 0.000 0.000 0.979
Hg1 0.500 0.500 0.250
Li1 0.500 0.500 0.750

Output
D(E_F)	1.35	states/eV per cell
crystal system	orthorhombic
SG	No. 47
calculated total energy	-10.235	eV for the cell shown

=====

Compound: TmInSb2O8
Source: Alexandria via LeMat-Bulk
Functional: PBE-GGA
Structure: relaxed

Cell lengths 5.167, 5.167, 6.640 Å; angles 112.90, 112.90, 90.00 degrees
Atoms (fractional coordinates):
Sb1 0.500 0.500 0.000
Sb2 0.250 0.750 0.500
O1 0.356 0.911 0.319
O2 0.395 0.330 0.178
O3 0.963 0.409 0.319
O4 0.152 0.605 0.822
O5 0.089 0.037 0.681
O6 0.591 0.644 0.681
O7 0.670 0.217 0.822
O8 0.783 0.848 0.178
Tm1 0.750 0.250 0.500
In1 0.000 0.000 0.000

Output
crystal system	tetragonal
SG	No. 82
energy relative to the elements, uncorrected	-1.861	eV/atom
calculated total energy	-77.451	eV for the cell shown

=====

Compound: Cu3P
Source: Alexandria via LeMat-Bulk
Functional: PBE-GGA
Structure: relaxed

Cell lengths 7.769, 7.769, 7.769 Å; angles 152.84, 152.84, 38.78 degrees
Atoms (fractional coordinates):
P1 0.371 0.371 0.000
P2 0.629 0.629 0.000
Cu1 0.500 0.000 0.500
Cu2 0.250 0.750 0.500
Cu3 0.878 0.878 0.000
Cu4 0.000 0.500 0.500
Cu5 0.122 0.122 0.000
Cu6 0.750 0.250 0.500

Output
D(E_F)	1.76	states/eV per cell
crystal system	tetragonal
SG	No. 139
calculated total energy	-35.208	eV for the cell shown